# SiNiNF2 PBE with a Hubbard U optimized geometry
data_SiNiNF2
_chemical_formula_sum 'Si1 Ni1 N1 F2'
_space_group_name_H-M_alt 'P 4/m m m'
_space_group_IT_number 123
_space_group_name_Hall '-P 4 2'
_cell_length_a 3.7645
_cell_length_b 3.7645
_cell_length_c 4.1929
_cell_angle_alpha 90.00
_cell_angle_beta 90.00
_cell_angle_gamma 90.00
loop_
_atom_site_label
_atom_site_type_symbol
_atom_site_fract_x
_atom_site_fract_y
_atom_site_fract_z
Si1 Si 0.0000 0.0000 0.0000
Ni1 Ni 0.5000 0.5000 0.5000
N1 N 0.5000 0.5000 0.0000
F1 F 0.0000 0.5000 0.5000
# * total moment: 1.89 μB per cell
# * volume: 59.4 Å³/f.u.
# * energy above the lowest structure with this stoichiometry: 660 meV/atom
# * DOS(E_F): 1.78 states/eV/f.u.